Computed, not measured: SnBi2Ir2 after structural relaxation at the PBE-GGA level of DFT.

Results
- Total magnetization: 0.0 μB per cell
- Crystal system: tetragonal
- Density of states at the Fermi level: 5.74 states/eV per cell
- Energy of formation from the pure elements: 1.31 eV per formula unit
- SG: P4/mbm, No. 127

abc: 6.879 6.879 4.795
angles: 90.00 90.00 90.00
Positions (direct):
Ir 0.366 0.866 0.000
Ir 0.866 0.634 0.000
Ir 0.634 0.134 0.000
Ir 0.134 0.366 0.000
Bi 0.169 0.669 0.500
Bi 0.669 0.831 0.500
Bi 0.831 0.331 0.500
Bi 0.331 0.169 0.500
Sn 0.000 0.000 0.000
Sn 0.500 0.500 0.000